Computed, not measured: a relaxed structure of GaFeIrO6 at the PBE+U level of DFT.

Output
As for the electronic total energy: -6.35 eV per atom.

Cell: 5.061 5.061 8.701 Å, 90.00 90.00 120.00°
Sites, in units of the cell vectors:
Ga (0.333, 0.667, 0.250)
Ga (0.667, 0.333, 0.750)
Fe (0.000, 0.000, 0.000)
Fe (0.000, 0.000, 0.500)
Ir (0.333, 0.667, 0.750)
Ir (0.667, 0.333, 0.250)
O (0.006, 0.346, 0.628)
O (0.006, 0.660, 0.872)
O (0.340, 0.346, 0.872)
O (0.340, 0.994, 0.628)
O (0.346, 0.006, 0.128)
O (0.346, 0.340, 0.372)
O (0.654, 0.660, 0.628)
O (0.654, 0.994, 0.872)
O (0.660, 0.006, 0.372)
O (0.660, 0.654, 0.128)
O (0.994, 0.340, 0.128)
O (0.994, 0.654, 0.372)